Record 1
Density functional theory data (PBE) for RbIr2Se after structural relaxation.

```
data_RbIr2Se
_chemical_formula_sum 'Rb4 Ir8 Se4'
_space_group_name_H-M_alt 'I 41/a m d'
_space_group_IT_number 141
_cell_length_a 5.0870
_cell_length_b 5.0870
_cell_length_c 16.7223
_cell_angle_alpha 90.00
_cell_angle_beta 90.00
_cell_angle_gamma 90.00
loop_
_space_group_symop_operation_xyz
'x,y,z'
'-x,-y,-z'
'-y+1/4,x+3/4,z+1/4'
'y+1/4,-x+3/4,-z+1/4'
'-x+1/2,-y,z+1/2'
'x+1/2,y,-z+1/2'
'y+1/4,-x+1/4,z+3/4'
'-y+1/4,x+1/4,-z+3/4'
'x,-y,-z'
'-x,y,z'
'-y+1/4,-x+1/4,-z+3/4'
'y+1/4,x+1/4,z+3/4'
'-x+1/2,y,-z+1/2'
'x+1/2,-y,z+1/2'
'y+1/4,x+3/4,-z+1/4'
'-y+1/4,-x+3/4,z+1/4'
'x+1/2,y+1/2,z+1/2'
'-x+1/2,-y+1/2,-z+1/2'
'-y+3/4,x+1/4,z+3/4'
'y+3/4,-x+1/4,-z+3/4'
'-x,-y+1/2,z'
'x,y+1/2,-z'
'y+3/4,-x+3/4,z+1/4'
'-y+3/4,x+3/4,-z+1/4'
'x+1/2,-y+1/2,-z+1/2'
'-x+1/2,y+1/2,z+1/2'
'-y+3/4,-x+3/4,-z+1/4'
'y+3/4,x+3/4,z+1/4'
'-x,y+1/2,-z'
'x,-y+1/2,z'
'y+3/4,x+1/4,-z+3/4'
'-y+3/4,-x+1/4,z+3/4'
loop_
_atom_site_label
_atom_site_fract_x
_atom_site_fract_y
_atom_site_fract_z
_atom_site_occupancy
Rb1 0.0000 0.2500 0.3750 1
Ir1 0.0000 0.0000 0.0000 1
Se1 0.0000 0.2500 0.8750 1
```

Output
Electronic total energy (eV per formula unit): -20.9
Formation energy (no corrections) (eV/f.u.): 1.3



Record 2
Density functional theory data (PBE) for TmAg5 after structural relaxation.

```
data_TmAg5
_chemical_formula_sum 'Tm2 Ag10'
_space_group_name_H-M_alt 'C m m m'
_space_group_IT_number 65
_space_group_name_Hall '-C 2 2'
_cell_length_a 4.4113
_cell_length_b 12.7997
_cell_length_c 4.1404
_cell_angle_alpha 90.00
_cell_angle_beta 90.00
_cell_angle_gamma 90.00
loop_
_atom_site_label
_atom_site_fract_x
_atom_site_fract_y
_atom_site_fract_z
_atom_site_occupancy
Tm1 0.0000 0.0000 0.0000 1
Ag1 0.0000 0.1722 0.5000 1
Ag2 0.0000 0.3326 0.0000 1
Ag3 0.0000 0.5000 0.5000 1
```

Output
Electronic total energy (eV per formula unit): -19.4



Record 3
Density functional theory data (PBE) for B2C after structural relaxation.

```
data_B2C
_chemical_formula_sum 'B8 C4'
_space_group_name_H-M_alt 'P 1'
_space_group_IT_number 1
_space_group_name_Hall 'P 1'
_cell_length_a 4.0781
_cell_length_b 4.9269
_cell_length_c 5.1289
_cell_angle_alpha 117.82
_cell_angle_beta 100.22
_cell_angle_gamma 98.88
loop_
_atom_site_label
_atom_site_fract_x
_atom_site_fract_y
_atom_site_fract_z
_atom_site_occupancy
B1 0.0000 0.0000 0.0000 1
B2 0.9995 0.3055 0.9269 1
B3 0.0043 0.9354 0.5827 1
B4 0.2055 0.3855 0.3007 1
B5 0.4013 0.5818 0.0920 1
B6 0.4171 0.0670 0.2302 1
B7 0.7503 0.2706 0.1750 1
B8 0.9640 0.6056 0.8363 1
C1 0.3995 0.0853 0.5834 1
C2 0.5964 0.8933 0.4079 1
C3 0.6219 0.3788 0.8860 1
C4 0.9993 0.5666 0.5179 1
```

Output
Electronic total energy (eV per formula unit): -21.4
ΔE to the lowest computed polymorph (eV per atom): 0.210



Record 4
Density functional theory data (PBE) for CeTmIrPt after structural relaxation.

```
data_CeTmIrPt
_chemical_formula_sum 'Ce4 Tm4 Ir4 Pt4'
_space_group_name_H-M_alt 'F -4 3 m'
_space_group_IT_number 216
_space_group_name_Hall 'F -4 2 3'
_cell_length_a 6.9682
_cell_length_b 6.9682
_cell_length_c 6.9682
_cell_angle_alpha 90.00
_cell_angle_beta 90.00
_cell_angle_gamma 90.00
loop_
_atom_site_label
_atom_site_fract_x
_atom_site_fract_y
_atom_site_fract_z
_atom_site_occupancy
Ce1 0.0000 0.0000 0.0000 1
Tm1 0.0000 0.0000 0.5000 1
Ir1 0.2500 0.2500 0.2500 1
Pt1 0.2500 0.2500 0.7500 1
```

Output
Electronic total energy (eV per formula unit): -29.0



Number 1: total magnetization 0.00 μB per formula unit, mass density 8.4 g/cm3, DOS at the Fermi energy 14.69 states/eV/cell. Number 2: total magnetization 0.00 μB per formula unit, mass density 10.1 g/cm3, DOS at the Fermi energy 4.90 states/eV/cell. Number 3: total magnetization 0.00 μB per formula unit, mass density 2.6 g/cm3, DOS at the Fermi energy 0.69 states/eV/cell. Number 4: total magnetization 0.63 μB per formula unit, mass density 13.7 g/cm3, DOS at the Fermi energy 24.86 states/eV/cell.